1.
# Sm2Ho2Er5

A geometry-optimized Sm2Ho2Er5 structure (PBE, Alexandria via LeMat-Bulk).

```
data_Sm2Ho2Er5
_space_group_name_H-M_alt 'C 1 2 1'
_space_group_IT_number 5
_cell_length_a 16.487
_cell_length_b 6.646
_cell_length_c 11.821
_cell_angle_alpha 90.00
_cell_angle_beta 116.96
_cell_angle_gamma 90.00
loop_
_space_group_symop_operation_xyz
'x,y,z'
'-x,y,-z'
'x+1/2,y+1/2,z'
'-x+1/2,y+1/2,-z'
loop_
_atom_site_label
_atom_site_type_symbol
_atom_site_fract_x
_atom_site_fract_y
_atom_site_fract_z
Sm1 Sm 0.000 0.000 0.000
Sm2 Sm 0.000 0.458 0.500
Sm3 Sm 0.233 0.085 0.213
Ho1 Ho 0.115 0.985 0.613
Ho2 Ho 0.151 0.568 0.150
Er1 Er 0.044 0.721 0.310
Er2 Er 0.072 0.180 0.309
Er3 Er 0.112 0.365 0.860
Er4 Er 0.174 0.874 0.925
Er5 Er 0.238 0.383 0.517
```

Computed properties:
energy above the lowest structure with this stoichiometry = 0.031 eV per atom
energy of formation = 0.172 eV per atom
mass density = 8.44 g/cm³

---

2.
# U2VIr9

A geometry-optimized U2VIr9 structure (PBE, Alexandria via LeMat-Bulk).

```
data_U2VIr9
_space_group_name_H-M_alt 'P 4/m m m'
_space_group_IT_number 123
_space_group_name_Hall '-P 4 2'
_cell_length_a 3.984
_cell_length_b 3.984
_cell_length_c 11.947
_cell_angle_alpha 90.00
_cell_angle_beta 90.00
_cell_angle_gamma 90.00
loop_
_atom_site_label
_atom_site_type_symbol
_atom_site_fract_x
_atom_site_fract_y
_atom_site_fract_z
U1 U 0.000 0.000 0.172
V1 V 0.000 0.000 0.500
Ir1 Ir 0.000 0.500 0.000
Ir2 Ir 0.000 0.500 0.345
Ir3 Ir 0.500 0.500 0.172
Ir4 Ir 0.500 0.500 0.500
```

Computed properties:
energy of formation = -0.540 eV per atom
mass density = 19.76 g/cm³

---

3.
# AlPdAu5

A geometry-optimized AlPdAu5 structure (PBE, Alexandria via LeMat-Bulk).

```
data_AlPdAu5
_space_group_name_H-M_alt 'I m m 2'
_space_group_IT_number 44
_cell_length_a 7.959
_cell_length_b 8.285
_cell_length_c 5.325
_cell_angle_alpha 90.00
_cell_angle_beta 90.00
_cell_angle_gamma 90.00
loop_
_space_group_symop_operation_xyz
'x,y,z'
'-x,-y,z'
'-x,y,z'
'x,-y,z'
'x+1/2,y+1/2,z+1/2'
'-x+1/2,-y+1/2,z+1/2'
'-x+1/2,y+1/2,z+1/2'
'x+1/2,-y+1/2,z+1/2'
loop_
_atom_site_label
_atom_site_type_symbol
_atom_site_fract_x
_atom_site_fract_y
_atom_site_fract_z
Al1 Al 0.000 0.000 0.000
Pd1 Pd 0.000 0.500 0.920
Au1 Au 0.000 0.220 0.697
Au2 Au 0.000 0.500 0.409
Au3 Au 0.175 0.000 0.387
```

Computed properties:
energy of formation = 0.294 eV per atom
mass density = 10.57 g/cm³

---

4.
# NaSnPS2

A geometry-optimized NaSnPS2 structure (PBE, Alexandria via LeMat-Bulk).

```
data_NaSnPS2
_space_group_name_H-M_alt 'P 4/m m m'
_space_group_IT_number 123
_space_group_name_Hall '-P 4 2'
_cell_length_a 4.990
_cell_length_b 4.990
_cell_length_c 4.797
_cell_angle_alpha 90.00
_cell_angle_beta 90.00
_cell_angle_gamma 90.00
loop_
_atom_site_label
_atom_site_type_symbol
_atom_site_fract_x
_atom_site_fract_y
_atom_site_fract_z
Na1 Na 0.000 0.000 0.000
Sn1 Sn 0.500 0.500 0.500
P1 P 0.000 0.000 0.500
S1 S 0.000 0.500 0.000
```

Computed properties:
energy above the lowest structure with this stoichiometry = 0.602 eV per atom
mass density = 3.29 g/cm³

---

5.
# Pm4DyHo3

A geometry-optimized Pm4DyHo3 structure (PBE, Alexandria via LeMat-Bulk).

```
data_Pm4DyHo3
_space_group_name_H-M_alt 'C 1 2/m 1'
_space_group_IT_number 12
_cell_length_a 25.998
_cell_length_b 5.676
_cell_length_c 3.629
_cell_angle_alpha 90.00
_cell_angle_beta 90.11
_cell_angle_gamma 90.00
loop_
_space_group_symop_operation_xyz
'x,y,z'
'-x,-y,-z'
'-x,y,-z'
'x,-y,z'
'x+1/2,y+1/2,z'
'-x+1/2,-y+1/2,-z'
'-x+1/2,y+1/2,-z'
'x+1/2,-y+1/2,z'
loop_
_atom_site_label
_atom_site_type_symbol
_atom_site_fract_x
_atom_site_fract_y
_atom_site_fract_z
Pm1 Pm 0.103 0.000 0.000
Pm2 Pm 0.223 0.000 0.999
Dy1 Dy 0.000 0.000 0.500
Ho1 Ho 0.000 0.500 0.000
Ho2 Ho 0.151 0.500 0.499
```

Computed properties:
energy above the lowest structure with this stoichiometry = 0.169 eV per atom
energy of formation = 0.193 eV per atom
mass density = 7.67 g/cm³

---

6.
# YAl2Pd

A geometry-optimized YAl2Pd structure (PBE, Alexandria via LeMat-Bulk).

```
data_YAl2Pd
_space_group_name_H-M_alt 'P 4/m m m'
_space_group_IT_number 123
_space_group_name_Hall '-P 4 2'
_cell_length_a 3.199
_cell_length_b 3.199
_cell_length_c 7.286
_cell_angle_alpha 90.00
_cell_angle_beta 90.00
_cell_angle_gamma 90.00
loop_
_atom_site_label
_atom_site_type_symbol
_atom_site_fract_x
_atom_site_fract_y
_atom_site_fract_z
Y1 Y 0.000 0.000 0.000
Al1 Al 0.500 0.500 0.303
Pd1 Pd 0.000 0.000 0.500
```

Computed properties:
energy of formation = -0.627 eV per atom
mass density = 5.55 g/cm³

---

7.
# PrO4

A geometry-optimized PrO4 structure (PBE, Alexandria via LeMat-Bulk).

```
data_PrO4
_space_group_name_H-M_alt 'P m -3 m'
_space_group_IT_number 221
_space_group_name_Hall '-P 4 2 3'
_cell_length_a 4.691
_cell_length_b 4.691
_cell_length_c 4.691
_cell_angle_alpha 90.00
_cell_angle_beta 90.00
_cell_angle_gamma 90.00
loop_
_atom_site_label
_atom_site_type_symbol
_atom_site_fract_x
_atom_site_fract_y
_atom_site_fract_z
Pr1 Pr 0.000 0.000 0.000
O1 O 0.000 0.000 0.500
O2 O 0.500 0.500 0.500
```

Computed properties:
calculated total energy = -5.200 eV per atom
mass density = 3.30 g/cm³

---

8.
# YAs2Pd4

A geometry-optimized YAs2Pd4 structure (PBE, Alexandria via LeMat-Bulk).

```
data_YAs2Pd4
_space_group_name_H-M_alt 'C m m m'
_space_group_IT_number 65
_space_group_name_Hall '-C 2 2'
_cell_length_a 4.302
_cell_length_b 13.443
_cell_length_c 4.344
_cell_angle_alpha 90.00
_cell_angle_beta 90.00
_cell_angle_gamma 90.00
loop_
_atom_site_label
_atom_site_type_symbol
_atom_site_fract_x
_atom_site_fract_y
_atom_site_fract_z
Y1 Y 0.000 0.000 0.000
As1 As 0.000 0.408 0.500
Pd1 Pd 0.000 0.179 0.500
Pd2 Pd 0.000 0.324 0.000
```

Computed properties:
energy above the lowest structure with this stoichiometry = 0.077 eV per atom
energy of formation = -0.651 eV per atom
mass density = 8.78 g/cm³

---

9.
# La5CeTm4

A geometry-optimized La5CeTm4 structure (PBE, Alexandria via LeMat-Bulk).

```
data_La5CeTm4
_space_group_name_H-M_alt 'C 1 2/m 1'
_space_group_IT_number 12
_cell_length_a 18.011
_cell_length_b 3.513
_cell_length_c 11.094
_cell_angle_alpha 90.00
_cell_angle_beta 106.26
_cell_angle_gamma 90.00
loop_
_space_group_symop_operation_xyz
'x,y,z'
'-x,-y,-z'
'-x,y,-z'
'x,-y,z'
'x+1/2,y+1/2,z'
'-x+1/2,-y+1/2,-z'
'-x+1/2,y+1/2,-z'
'x+1/2,-y+1/2,z'
loop_
_atom_site_label
_atom_site_type_symbol
_atom_site_fract_x
_atom_site_fract_y
_atom_site_fract_z
La1 La 0.000 0.000 0.000
La2 La 0.103 0.500 0.778
La3 La 0.202 0.500 0.102
Ce1 Ce 0.000 0.000 0.500
Tm1 Tm 0.095 0.500 0.320
Tm2 Tm 0.196 0.000 0.578
```

Computed properties:
energy of formation = 0.102 eV per atom
mass density = 7.44 g/cm³

---

10.
# Th4AsP3

A geometry-optimized Th4AsP3 structure (PBE, Alexandria via LeMat-Bulk).

```
data_Th4AsP3
_space_group_name_H-M_alt 'P m -3 m'
_space_group_IT_number 221
_space_group_name_Hall '-P 4 2 3'
_cell_length_a 5.899
_cell_length_b 5.899
_cell_length_c 5.899
_cell_angle_alpha 90.00
_cell_angle_beta 90.00
_cell_angle_gamma 90.00
loop_
_atom_site_label
_atom_site_type_symbol
_atom_site_fract_x
_atom_site_fract_y
_atom_site_fract_z
Th1 Th 0.000 0.000 0.000
Th2 Th 0.000 0.500 0.500
As1 As 0.500 0.500 0.500
P1 P 0.000 0.000 0.500
```

Computed properties:
energy above the lowest structure with this stoichiometry = 0.011 eV per atom
energy of formation = -1.493 eV per atom
mass density = 8.86 g/cm³

---

11.
# LiPr2Ho

A geometry-optimized LiPr2Ho structure (PBE, Alexandria via LeMat-Bulk).

```
data_LiPr2Ho
_space_group_name_H-M_alt 'F m -3 m'
_space_group_IT_number 225
_space_group_name_Hall '-F 4 2 3'
_cell_length_a 7.947
_cell_length_b 7.947
_cell_length_c 7.947
_cell_angle_alpha 90.00
_cell_angle_beta 90.00
_cell_angle_gamma 90.00
loop_
_atom_site_label
_atom_site_type_symbol
_atom_site_fract_x
_atom_site_fract_y
_atom_site_fract_z
Li1 Li 0.000 0.000 0.000
Pr1 Pr 0.250 0.250 0.250
Ho1 Ho 0.000 0.000 0.500
```

Computed properties:
energy above the lowest structure with this stoichiometry = 0.089 eV per atom
energy of formation = 0.151 eV per atom
mass density = 6.00 g/cm³

---

12.
# TmVCo2

A geometry-optimized TmVCo2 structure (PBE, Alexandria via LeMat-Bulk).

```
data_TmVCo2
_space_group_name_H-M_alt 'R -3 m'
_space_group_IT_number 166
_space_group_name_Hall '-R 3 2"'
_cell_length_a 3.9697
_cell_length_b 3.9697
_cell_length_c 14.2644
_cell_angle_alpha 90.00
_cell_angle_beta 90.00
_cell_angle_gamma 120.00
loop_
_atom_site_label
_atom_site_type_symbol
_atom_site_fract_x
_atom_site_fract_y
_atom_site_fract_z
Tm1 Tm 0.0000 0.0000 0.0000
V1 V 0.0000 0.0000 0.5000
Co1 Co 0.0000 0.0000 0.2032
```

Computed properties:
energy above the lowest structure with this stoichiometry = 0.000 eV per atom
energy of formation = -0.112 eV per atom
mass density = 8.64 g/cm³

---

13.
# MgCuAu6

A geometry-optimized MgCuAu6 structure (PBE, Alexandria via LeMat-Bulk).

```
data_MgCuAu6
_space_group_name_H-M_alt 'P 4/m m m'
_space_group_IT_number 123
_space_group_name_Hall '-P 4 2'
_cell_length_a 5.935
_cell_length_b 5.935
_cell_length_c 3.938
_cell_angle_alpha 90.00
_cell_angle_beta 90.00
_cell_angle_gamma 90.00
loop_
_atom_site_label
_atom_site_type_symbol
_atom_site_fract_x
_atom_site_fract_y
_atom_site_fract_z
Mg1 Mg 0.000 0.000 0.000
Cu1 Cu 0.500 0.500 0.000
Au1 Au 0.000 0.500 0.000
Au2 Au 0.254 0.254 0.500
```

Computed properties:
energy above the lowest structure with this stoichiometry = 0.008 eV per atom
energy of formation = -0.197 eV per atom
mass density = 15.20 g/cm³